[1]
Compound: CuBiAsAu2
Source: the Alexandria database
Functional: GGA-PBE
Structure: relaxed

The space group is P4/mmm (No. 123) and the conventional cell measures 5.443, 5.443 and 4.942 Å, with angles of 90.00, 90.00 and 90.00 degrees. The inequivalent atoms are Cu at (0.000, 0.000, 0.000), Bi at (0.000, 0.000, 0.500), As at (0.500, 0.500, 0.000) and Au at (0.000, 0.500, 0.500).

For the energy above the most stable polymorph in this dataset, the calculation gives 40.1 kJ/mol of atoms. The value obtained for the formation energy from the elements is 4.9 eV/f.u.

[2]
Compound: Sm2HfHg
Source: the Alexandria database
Functional: GGA-PBE
Structure: relaxed

The space group is R-3m (No. 166, hexagonal axes) and the conventional cell measures 3.3093, 3.3093 and 35.1986 Å, with angles of 90.00, 90.00 and 120.00 degrees. The inequivalent atoms are Sm at (0.0000, 0.0000, 0.0907), Hf at (0.0000, 0.0000, 0.0000) and Hg at (0.0000, 0.0000, 0.5000).

For the energy above the most stable polymorph in this dataset, the calculation gives 38.8 kJ/mol of atoms. The value obtained for the formation energy from the elements is 1.1 eV/f.u.

E_tot per entry: -2.847; -4.641 eV/atom
V per entry: 146.4; 111.3 Å³/f.u.